Entry 1:
La3Pm2Sm6Ho PBE optimized geometry; M_tot = 0.000 μB per formula unit; space-group type = C2/m (12); total energy = -4.747 eV/atom
1.0
3.164 -5.484 0.000
3.164 5.484 0.000
-2.124 0.000 11.930
La Pm Sm Ho
3 2 6 1
Direct
0.000 0.000 0.000
0.333 0.667 0.000
0.667 0.333 0.000
0.167 0.833 0.500
0.833 0.167 0.500
0.086 0.418 0.254
0.249 0.249 0.746
0.418 0.086 0.254
0.582 0.914 0.746
0.751 0.751 0.254
0.914 0.582 0.746
0.500 0.500 0.500

***

Entry 2:
Dy2HoAlN PBE optimized geometry; M_tot = 0.000 μB per formula unit; space-group type = P4/mmm (123); energy relative to the elements, uncorrected = -4.62 eV/f.u.; total energy = -6.093 eV/atom
1.0
4.775 0.000 0.000
0.000 4.775 0.000
0.000 0.000 4.746
Dy Ho Al N
2 1 1 1
Direct
0.000 0.500 0.000
0.500 0.000 0.000
0.000 0.000 0.500
0.500 0.500 0.500
0.000 0.000 0.000

***

Entry 3:
TaRe2Se PBE optimized geometry; M_tot = 0.000 μB per formula unit; space-group type = Pmm2 (25); energy relative to the elements, uncorrected = 1.19 eV/f.u.; total energy = -9.762 eV/atom
1.0
2.986 0.000 0.000
0.000 3.934 0.000
0.000 0.000 5.551
Ta Re Se
1 2 1
Direct
0.000 0.000 0.000
0.000 0.000 0.483
0.500 0.500 0.294
0.500 0.500 0.758

***

Entry 4:
CaHoHgGe PBE optimized geometry; M_tot = 0.000 μB per formula unit; space-group type = F-43m (216); total energy = -3.413 eV/atom
1.0
7.340 0.000 0.000
0.000 7.340 0.000
0.000 0.000 7.340
Ca Ho Hg Ge
4 4 4 4
Direct
0.000 0.000 0.000
0.000 0.500 0.500
0.500 0.000 0.500
0.500 0.500 0.000
0.000 0.000 0.500
0.000 0.500 0.000
0.500 0.000 0.000
0.500 0.500 0.500
0.250 0.250 0.250
0.250 0.750 0.750
0.750 0.250 0.750
0.750 0.750 0.250
0.250 0.250 0.750
0.250 0.750 0.250
0.750 0.250 0.250
0.750 0.750 0.750

***

Entry 5:
PmSm5Sc2 PBE optimized geometry; M_tot = 0.000 μB per formula unit; polymorph energy (0 for the lowest one) = 0.0 kJ/mol of atoms; space-group type = Pbam (55); total energy = -5.090 eV/atom
1.0
7.073 0.000 0.000
0.000 14.148 0.000
0.000 0.000 4.991
Pm Sm Sc
2 10 4
Direct
0.000 0.000 0.000
0.500 0.500 0.000
0.000 0.250 0.000
0.000 0.500 0.000
0.000 0.750 0.000
0.250 0.125 0.500
0.250 0.625 0.500
0.500 0.000 0.000
0.500 0.250 0.000
0.500 0.750 0.000
0.750 0.375 0.500
0.750 0.875 0.500
0.250 0.375 0.500
0.250 0.875 0.500
0.750 0.125 0.500
0.750 0.625 0.500

***

Entry 6:
CaPm2Ga PBE optimized geometry; M_tot = 0.000 μB per formula unit; polymorph energy (0 for the lowest one) = 20.4 kJ/mol of atoms; space-group type = R3m (160); total energy = -3.650 eV/atom
1.0
4.844 0.000 0.000
-2.422 4.195 0.000
0.000 0.000 20.635
Ca Pm Ga
3 6 3
Direct
0.000 0.000 0.000
0.333 0.667 0.667
0.667 0.333 0.333
0.000 0.000 0.219
0.000 0.000 0.440
0.333 0.667 0.107
0.333 0.667 0.885
0.667 0.333 0.552
0.667 0.333 0.774
0.000 0.000 0.829
0.333 0.667 0.495
0.667 0.333 0.162

***

Entry 7:
Al2CuW PBE optimized geometry; M_tot = 0.000 μB per formula unit; polymorph energy (0 for the lowest one) = 13.6 kJ/mol of atoms; space-group type = R3m (160); total energy = -6.082 eV/atom
1.0
2.837 0.000 0.000
-1.419 2.457 0.000
0.000 0.000 25.938
Al Cu W
6 3 3
Direct
0.000 0.000 0.000
0.000 0.000 0.245
0.333 0.667 0.667
0.333 0.667 0.911
0.667 0.333 0.333
0.667 0.333 0.578
0.000 0.000 0.743
0.333 0.667 0.410
0.667 0.333 0.076
0.000 0.000 0.493
0.333 0.667 0.160
0.667 0.333 0.826

***

Entry 8:
Y7Ho2Pu PBE optimized geometry; M_tot = 7.321 μB per formula unit; space-group type = C2/m (12); total energy = -6.732 eV/atom
1.0
3.079 -14.792 0.000
3.079 14.792 0.000
-0.024 0.000 3.489
Y Ho Pu
7 2 1
Direct
0.000 0.000 0.000
0.149 0.346 0.285
0.208 0.792 0.500
0.346 0.149 0.285
0.654 0.851 0.715
0.792 0.208 0.500
0.851 0.654 0.715
0.309 0.691 0.000
0.691 0.309 0.000
0.500 0.500 0.500